This record from Alexandria via LeMat-Bulk describes a relaxed structure of Ag4SCl3. The functional is GGA-PBE.

Calculated values
The total magnetization is 0.0 μB per formula unit. The polymorph energy (0 for the lowest one) is 0.4 kJ/mol of atoms. The calculation puts the density of states at the Fermi level at 2.56 states/eV/f.u. The formation energy without anion corrections is -0.257 eV/atom.

a = 10.7594 Å, b = 8.2644 Å, c = 5.0005 Å
α = 90.00°, β = 90.00°, γ = 90.00°
Fractional positions:
Ag  0.0000  0.1384  0.0000
Ag  0.0000  0.8224  0.4506
Ag  0.1692  0.6584  0.1041
Ag  0.3308  0.3416  0.6041
Ag  0.5000  0.1776  0.9506
Ag  0.5000  0.8616  0.5000
Ag  0.6692  0.3416  0.6041
Ag  0.8308  0.6584  0.1041
S  0.0000  0.8284  0.9464
S  0.5000  0.1716  0.4464
Cl  0.0000  0.1467  0.4990
Cl  0.1919  0.3501  0.0147
Cl  0.3081  0.6499  0.5147
Cl  0.5000  0.8533  0.9990
Cl  0.6919  0.6499  0.5147
Cl  0.8081  0.3501  0.0147



This record from Alexandria via LeMat-Bulk describes a relaxed structure of CoAs2Ru. The functional is GGA-PBE.

Calculated values
Its formation energy is 0.1128 eV/atom. The total magnetization is 1.2 μB per formula unit. The polymorph energy (0 for the lowest one) is 21.2 kJ/mol of atoms. The calculation puts the density of states at the Fermi level at 2.79 states/eV/f.u.

a = 9.8398 Å, b = 9.8398 Å, c = 9.8398 Å
α = 17.02°, β = 17.02°, γ = 17.02°
Fractional positions:
Co  0.0000  0.0000  0.0000
As  0.5315  0.5315  0.5315
As  0.7241  0.7241  0.7241
Ru  0.2608  0.2608  0.2608



This record from Alexandria via LeMat-Bulk describes a relaxed structure of Hf2IrPd. The functional is GGA-PBE.

Calculated values
Its formation energy is -0.3301 eV/atom. The total magnetization is 0.0 μB per formula unit. The polymorph energy (0 for the lowest one) is 46.5 kJ/mol of atoms. The calculation puts the density of states at the Fermi level at 5.28 states/eV/f.u.

a = 5.9122 Å, b = 5.9122 Å, c = 5.9122 Å
α = 104.11°, β = 104.11°, γ = 120.82°
Fractional positions:
Hf  0.1152  0.6250  0.9902
Hf  0.3750  0.3652  0.4902
Hf  0.6348  0.1250  0.0098
Hf  0.8750  0.8848  0.5098
Ir  0.0000  0.0000  0.0000
Ir  0.7500  0.2500  0.5000
Pd  0.2500  0.7500  0.5000
Pd  0.5000  0.5000  0.0000



This record from Alexandria via LeMat-Bulk describes a relaxed structure of Li2Cr2S. The functional is GGA-PBE.

Calculated values
The total magnetization is 0.0 μB per formula unit. The polymorph energy (0 for the lowest one) is 0.0 kJ/mol of atoms. The calculation puts the density of states at the Fermi level at 2.48 states/eV/f.u. The formation energy without anion corrections is 0.085 eV/atom.

a = 5.6417 Å, b = 5.6417 Å, c = 4.5229 Å
α = 90.00°, β = 90.00°, γ = 90.00°
Fractional positions:
Li  0.1636  0.3364  0.0000
Li  0.3364  0.8364  0.0000
Li  0.6636  0.1636  0.0000
Li  0.8364  0.6636  0.0000
Cr  0.1306  0.6306  0.5000
Cr  0.3694  0.1306  0.5000
Cr  0.6306  0.8694  0.5000
Cr  0.8694  0.3694  0.5000
S  0.0000  0.0000  0.5000
S  0.5000  0.5000  0.5000



This record from Alexandria via LeMat-Bulk describes a relaxed structure of LiScAg2Ge. The functional is GGA-PBE.

Calculated values
Its formation energy is 0.0683 eV/atom. The total magnetization is 0.0 μB per formula unit. The calculation puts the density of states at the Fermi level at 2.44 states/eV/f.u.

a = 4.4567 Å, b = 4.4567 Å, c = 4.6450 Å
α = 90.00°, β = 90.00°, γ = 90.00°
Fractional positions:
Li  0.0000  0.0000  0.0000
Sc  0.5000  0.5000  0.5000
Ag  0.0000  0.5000  0.0000
Ag  0.5000  0.0000  0.0000
Ge  0.0000  0.0000  0.5000



This record from Alexandria via LeMat-Bulk describes a relaxed structure of KNaPbF6. The functional is GGA-PBE.

Calculated values
The total magnetization is 0.2 μB per formula unit. The calculation puts the density of states at the Fermi level at 0.00 states/eV/f.u. The formation energy without anion corrections is -2.417 eV/atom.

a = 6.0063 Å, b = 6.0063 Å, c = 10.8106 Å
α = 90.00°, β = 90.00°, γ = 120.00°
Fractional positions:
K  0.0000  0.0000  0.0000
K  0.0000  0.0000  0.5000
Na  0.3333  0.6667  0.2500
Na  0.6667  0.3333  0.7500
Pb  0.3333  0.6667  0.7500
Pb  0.6667  0.3333  0.2500
F  0.0298  0.3830  0.6431
F  0.0298  0.6468  0.8569
F  0.3532  0.3830  0.8569
F  0.3532  0.9702  0.6431
F  0.3830  0.0298  0.1431
F  0.3830  0.3532  0.3569
F  0.6170  0.6468  0.6431
F  0.6170  0.9702  0.8569
F  0.6468  0.0298  0.3569
F  0.6468  0.6170  0.1431
F  0.9702  0.3532  0.1431
F  0.9702  0.6170  0.3569



This record from Alexandria via LeMat-Bulk describes a relaxed structure of LiAlRe2. The functional is GGA-PBE.

Calculated values
Its formation energy is 0.2453 eV/atom. The total magnetization is 0.0 μB per formula unit. The calculation puts the density of states at the Fermi level at 3.17 states/eV/f.u.

a = 2.6167 Å, b = 2.6167 Å, c = 8.6239 Å
α = 90.00°, β = 90.00°, γ = 90.00°
Fractional positions:
Li  0.0000  0.0000  0.0000
Al  0.0000  0.0000  0.5000
Re  0.5000  0.5000  0.2631
Re  0.5000  0.5000  0.7369



This record from Alexandria via LeMat-Bulk describes a relaxed structure of AlC2. The functional is GGA-PBE.

Calculated values
Its formation energy is 0.6785 eV/atom. The total magnetization is 0.0 μB per formula unit. The polymorph energy (0 for the lowest one) is 37.7 kJ/mol of atoms. The calculation puts the density of states at the Fermi level at 0.95 states/eV/f.u.

a = 3.9433 Å, b = 5.0601 Å, c = 3.1593 Å
α = 90.00°, β = 90.00°, γ = 90.00°
Fractional positions:
Al  0.0000  0.0000  0.0000
Al  0.5000  0.5000  0.5000
C  0.1079  0.4023  0.0000
C  0.3921  0.9023  0.5000
C  0.6079  0.0977  0.5000
C  0.8921  0.5977  0.0000



This record from Alexandria via LeMat-Bulk describes a relaxed structure of Hf2ReNiH. The functional is GGA-PBE.

Calculated values
The total magnetization is 0.0 μB per formula unit. The polymorph energy (0 for the lowest one) is 14.5 kJ/mol of atoms. The calculation puts the density of states at the Fermi level at 4.09 states/eV/f.u.

a = 4.4877 Å, b = 4.4877 Å, c = 3.5457 Å
α = 90.00°, β = 90.00°, γ = 90.00°
Fractional positions:
Hf  0.0000  0.5000  0.0000
Hf  0.5000  0.0000  0.0000
Re  0.0000  0.0000  0.5000
Ni  0.5000  0.5000  0.5000
H  0.0000  0.0000  0.0000



This record from Alexandria via LeMat-Bulk describes a relaxed structure of BaIn2Bi. The functional is GGA-PBE.

Calculated values
Its formation energy is -0.4363 eV/atom. The total magnetization is 0.0 μB per formula unit. The calculation puts the density of states at the Fermi level at 1.65 states/eV/f.u.

a = 4.8646 Å, b = 5.3961 Å, c = 11.0725 Å
α = 90.00°, β = 102.63°, γ = 90.00°
Fractional positions:
Ba  0.1010  0.2500  0.2031
Ba  0.8990  0.7500  0.7969
In  0.2555  0.7500  0.5149
In  0.3249  0.2500  0.6452
In  0.6751  0.7500  0.3548
In  0.7445  0.2500  0.4851
Bi  0.4639  0.2500  0.9231
Bi  0.5361  0.7500  0.0769



This record from Alexandria via LeMat-Bulk describes a relaxed structure of Rb3Pa4Se12. The functional is GGA-PBE.

Calculated values
The total magnetization is 0.0 μB per formula unit. The calculation puts the density of states at the Fermi level at 8.77 states/eV/f.u. The formation energy without anion corrections is -1.296 eV/atom.

a = 9.5464 Å, b = 9.5464 Å, c = 9.5464 Å
α = 109.47°, β = 109.47°, γ = 109.47°
Fractional positions:
Rb  0.0000  0.5000  0.5000
Rb  0.5000  0.0000  0.5000
Rb  0.5000  0.5000  0.0000
Pa  0.0000  0.0000  0.5000
Pa  0.0000  0.5000  0.0000
Pa  0.5000  0.0000  0.0000
Pa  0.5000  0.5000  0.5000
Se  0.0034  0.7504  0.2530
Se  0.2496  0.2530  0.5026
Se  0.2496  0.7470  0.9966
Se  0.2530  0.0034  0.7504
Se  0.2530  0.5026  0.2496
Se  0.4974  0.7504  0.7470
Se  0.5026  0.2496  0.2530
Se  0.7470  0.4974  0.7504
Se  0.7470  0.9966  0.2496
Se  0.7504  0.2530  0.0034
Se  0.7504  0.7470  0.4974
Se  0.9966  0.2496  0.7470